Entry from Alexandria: crystalline KBi4Au2 at its relaxed geometry (PBE).

It has space group Cmmm (No. 65), with a = 4.8962 Å, b = 18.4159 Å, c = 4.7078 Å, α = 90.00°, β = 90.00° and γ = 90.00°. Symmetry generates all atoms from K at (0.0000, 0.0000, 0.0000), Bi at (0.0000, 0.1638, 0.5000), Bi at (0.0000, 0.3172, 0.0000) and Au at (0.0000, 0.4261, 0.5000).

For the total magnetization, the calculation gives 0.000 μB/cell. The value obtained for the uncorrected energy is -3.390 eV/atom. The calculation puts the formation energy at -0.079 eV/atom. The value obtained for the offset from the most stable computed form is 0.081 eV/atom. The density of states at the Fermi level is 8.84 states/eV/cell.